# 1
Compound: Mo5PdRh6
Source: the Alexandria database
Functional: GGA-PBE
Structure: optimized geometry

a = 3.9017 Å, b = 7.2917 Å, c = 7.2917 Å
α = 106.53°, β = 105.52°, γ = 105.52°
Closest atoms and distances in Å follow each position.
Positions (direct):
Rh  0.7489  0.9168  0.5812  7 Mo 2.70-2.76, 4 Rh 2.74-2.77, 1 Pd 2.77
Rh  0.2454  0.7456  0.7456  6 Mo 2.73-2.82, 4 Rh 2.77, 2 Pd 2.78
Rh  0.2511  0.0832  0.4188  7 Mo 2.70-2.76, 4 Rh 2.74-2.77, 1 Pd 2.77
Rh  0.7546  0.2544  0.2544  6 Mo 2.73-2.82, 4 Rh 2.77, 2 Pd 2.78
Rh  0.7489  0.5812  0.9168  7 Mo 2.70-2.76, 4 Rh 2.74-2.77, 1 Pd 2.77
Rh  0.2511  0.4188  0.0832  7 Mo 2.70-2.76, 4 Rh 2.74-2.77, 1 Pd 2.77
Mo  0.5000  0.5000  0.5000  8 Rh 2.73-2.76, 4 Mo 2.75
Mo  0.5000  0.1714  0.8286  8 Rh 2.70-2.82, 2 Mo 2.73, 2 Pd 2.80
Mo  0.0000  0.6658  0.3342  4 Mo 2.73-2.75, 8 Rh 2.73-2.76
Mo  0.0000  0.3342  0.6658  4 Mo 2.73-2.75, 8 Rh 2.73-2.76
Mo  0.5000  0.8286  0.1714  8 Rh 2.70-2.82, 2 Mo 2.73, 2 Pd 2.80
Pd  0.0000  0.0000  0.0000  8 Rh 2.77-2.78, 4 Mo 2.80

**DFT total energy**: -8.780 eV per atom
**E_form**: -0.159 eV/atom
**Density of states at the Fermi level**: 8.45 states/eV per cell



# 2
Compound: SrCr4Au
Source: the Alexandria database
Functional: GGA-PBE
Structure: optimized geometry

a = 5.1160 Å, b = 5.1160 Å, c = 5.1160 Å
α = 60.00°, β = 60.00°, γ = 60.00°
Closest atoms and distances in Å follow each position.
Positions (direct):
Cr  0.3765  0.3765  0.8704  6 Cr 2.53-2.59
Cr  0.8704  0.3765  0.3765  6 Cr 2.53-2.59
Cr  0.3765  0.3765  0.3765  6 Cr 2.53-2.59
Cr  0.3765  0.8704  0.3765  6 Cr 2.53-2.59
Sr  0.7500  0.7500  0.7500  12 Cr 3.00, 4 Au 3.13
Au  0.0000  0.0000  0.0000  12 Cr 3.00, 4 Sr 3.13

**DFT total energy**: -6.488 eV per atom
**E_form**: 0.754 eV/atom
**Density of states at the Fermi level**: 7.47 states/eV per cell



# 3
Compound: Ac2InPtPb
Source: the Alexandria database
Functional: GGA-PBE
Structure: optimized geometry

a = 4.3196 Å, b = 8.4854 Å, c = 10.0370 Å
α = 109.57°, β = 90.00°, γ = 90.00°
Closest atoms and distances in Å follow each position.
Positions (direct):
In  0.2500  0.4764  0.7563  1 Pt 2.69
In  0.7500  0.5236  0.2437  1 Pt 2.69
Ac  0.7500  0.7793  0.6153  2 Pt 2.99
Ac  0.2500  0.2207  0.3847  2 Pt 2.99
Ac  0.7500  0.7972  0.0379  3 Pt 3.04-3.13
Ac  0.2500  0.2028  0.9621  3 Pt 3.04-3.13
Pt  0.2500  0.8122  0.8294  1 In 2.69, 2 Ac 2.99
Pt  0.7500  0.1878  0.1706  1 In 2.69, 2 Ac 2.99
Pb  0.2500  0.7895  0.3350  2 In 3.03
Pb  0.7500  0.2105  0.6650  2 In 3.03

**DFT total energy**: -4.766 eV per atom
**E_form**: -0.625 eV/atom
**Density of states at the Fermi level**: 6.33 states/eV per cell



# 4
Compound: ZrScPb2
Source: the Alexandria database
Functional: GGA-PBE
Structure: optimized geometry

a = 4.3702 Å, b = 5.1988 Å, c = 4.2931 Å
α = 90.00°, β = 90.00°, γ = 90.00°
Closest atoms and distances in Å follow each position.
Positions (direct):
Pb  0.5000  0.5000  0.0000  4 Zr 3.06, 4 Sc 3.37, 4 Pb 3.40
Pb  0.0000  0.0000  0.0000  4 Sc 3.06, 4 Zr 3.37, 4 Pb 3.40
Zr  0.0000  0.5000  0.5000  8 Pb 3.06-3.37, 4 Sc 3.40
Sc  0.5000  0.0000  0.5000  8 Pb 3.06-3.37, 4 Zr 3.40

**DFT total energy**: -5.779 eV per atom
**E_form**: -0.205 eV/atom
**Density of states at the Fermi level**: 4.18 states/eV per cell



# 5
Compound: TbSm2Ho5Tm
Source: the Alexandria database
Functional: GGA-PBE
Structure: optimized geometry

a = 8.6040 Å, b = 8.6040 Å, c = 9.8580 Å
α = 115.87°, β = 115.87°, γ = 90.00°
Closest atoms and distances in Å follow each position.
Positions (direct):
Sm  0.3829  0.8829  0.0000  1 Sm 2.85, 2 Ho 3.00
Sm  0.1171  0.3829  0.0000  1 Sm 2.85, 2 Ho 3.00
Sm  0.8829  0.6171  0.0000  1 Sm 2.85, 2 Ho 3.00
Sm  0.6171  0.1171  0.0000  1 Sm 2.85, 2 Ho 3.00
Ho  0.8507  0.9279  0.2786  1 Sm 3.00, 1 Tm 3.09
Ho  0.0721  0.5721  0.7214  1 Sm 3.00, 1 Tm 3.09
Ho  0.1493  0.0721  0.7214  1 Sm 3.00, 1 Tm 3.09
Ho  0.5000  0.5000  0.0000  4 Sm 3.45, 8 Ho 3.76
Ho  0.5721  0.6493  0.7214  1 Sm 3.00, 1 Tm 3.09
Ho  0.3507  0.8507  0.2786  1 Sm 3.00, 1 Tm 3.09
Ho  0.0000  0.0000  0.0000  4 Sm 3.45, 8 Ho 3.76
Ho  0.4279  0.3507  0.2786  1 Sm 3.00, 1 Tm 3.09
Ho  0.9279  0.4279  0.2786  1 Sm 3.00, 1 Tm 3.09
Ho  0.6493  0.1493  0.7214  1 Sm 3.00, 1 Tm 3.09
Tm  0.2500  0.7500  0.5000  4 Ho 3.09
Tm  0.7500  0.2500  0.5000  4 Ho 3.09
Tb  0.7500  0.7500  0.5000  10 Ho 3.52-3.88
Tb  0.2500  0.2500  0.5000  10 Ho 3.52-3.88

**DFT total energy**: -4.318 eV per atom
**E_form**: 0.285 eV/atom
**Density of states at the Fermi level**: 23.63 states/eV per cell



# 6
Compound: RuPbAu
Source: the Alexandria database
Functional: GGA-PBE
Structure: optimized geometry

a = 5.5904 Å, b = 5.5904 Å, c = 5.5904 Å
α = 144.81°, β = 144.88°, γ = 50.56°
Closest atoms and distances in Å follow each position.
Positions (direct):
Ru  0.3303  0.3303  0.0000  4 Pb 2.84, 4 Au 2.89
Pb  0.6790  0.6790  0.0000  4 Ru 2.84, 5 Au 3.05-3.15
Au  0.9907  0.9907  0.0000  4 Ru 2.89, 5 Pb 3.05-3.15

**DFT total energy**: -4.904 eV per atom
**E_form**: 0.516 eV/atom
**Density of states at the Fermi level**: 2.95 states/eV per cell



Which value of density of states at the Fermi level does entry 3 give? 6.33 states/eV per cell